Record 1
Here is a geometry-optimized Co2SbI structure from Alexandria. Energies are from PBE-GGA.

abc: 4.6285 4.6285 4.6285
angles: 60.00 60.00 60.00
Site moments in Bohr magnetons follow the coordinates.
Fractional coordinates of all 4 atoms:
I (0.5000, 0.5000, 0.5000)  0.00
Sb (0.0000, 0.0000, 0.0000)  -0.03
Co (0.2500, 0.2500, 0.2500)  0.58
Co (0.7500, 0.7500, 0.7500)  0.58

Computed properties:
- ΔE_f (raw) (eV per atom) = 0.723
- SG = Fm-3m (225)
- calculated density (g cm⁻³) = 8.68
- E_tot (eV per atom) = -4.25

Record 2
Here is a geometry-optimized Mg3ZnCd structure from Alexandria. Energies are from PBE-GGA.

abc: 5.2795 5.2795 5.2795
angles: 90.00 90.00 90.00
Fractional coordinates of all 5 atoms:
Zn (0.5000, 0.5000, 0.5000)
Mg (0.0000, 0.5000, 0.0000)
Mg (0.0000, 0.0000, 0.5000)
Mg (0.5000, 0.0000, 0.0000)
Cd (0.0000, 0.0000, 0.0000)

Computed properties:
- SG = Pm-3m (221)
- calculated density (g cm⁻³) = 2.83
- formation energy from the elements (kcal/mol of atoms) = 8.38
- E_tot (eV per atom) = -1.03

Record 3
Here is a geometry-optimized LaCu2Re structure from Alexandria. Energies are from PBE-GGA.

abc: 6.5130 4.9161 2.9336
angles: 89.85 63.48 121.95
Fractional coordinates of all 4 atoms:
Cu (0.0000, 0.0000, 0.0000)
Cu (0.5000, 0.0000, 0.5000)
La (0.0000, 0.5000, 0.5000)
Re (0.5000, 0.5000, 0.0000)

Computed properties:
- SG = C2/m (12)
- calculated density (g cm⁻³) = 11.09
- formation energy from the elements (kcal/mol of atoms) = 10.30
- E_tot (eV per atom) = -5.95

Record 4
Here is a geometry-optimized NdSm2Mg structure from Alexandria. Energies are from PBE-GGA.

abc: 3.7357 3.7357 9.0541
angles: 90.00 90.00 90.00
Fractional coordinates of all 4 atoms:
Mg (0.5000, 0.5000, 0.0000)
Nd (0.5000, 0.5000, 0.5000)
Sm (0.0000, 0.0000, 0.7758)
Sm (0.0000, 0.0000, 0.2242)

Computed properties:
- SG = P4/mmm (123)
- calculated density (g cm⁻³) = 6.17
- formation energy from the elements (kcal/mol of atoms) = -0.85
- E_tot (eV per atom) = -3.99

Record 5
Here is a geometry-optimized HfZrBe structure from Alexandria. Energies are from PBE-GGA.

abc: 3.1585 3.1585 5.9275
angles: 105.45 105.45 90.00
Fractional coordinates of all 3 atoms:
Be (0.6691, 0.6691, 0.3382)
Hf (0.3154, 0.3154, 0.6307)
Zr (0.0155, 0.0155, 0.0310)

Computed properties:
- SG = I4mm (107)
- calculated density (g cm⁻³) = 8.45
- formation energy from the elements (kcal/mol of atoms) = -0.29
- E_tot (eV per atom) = -7.42

Record 6
Here is a geometry-optimized Nd5RuPb2 structure from Alexandria. Energies are from PBE-GGA.

abc: 7.5418 7.5417 6.8951
angles: 123.15 123.15 90.01
Fractional coordinates of all 8 atoms:
Nd (0.7397, 0.2455, 0.9852)
Nd (0.2453, 0.2453, 0.9849)
Nd (0.7396, 0.7396, 0.9849)
Nd (0.2455, 0.7397, 0.9852)
Nd (0.7563, 0.7563, 0.5125)
Ru (0.0771, 0.0771, 0.1543)
Pb (0.2368, 0.7367, 0.4735)
Pb (0.7367, 0.2368, 0.4735)

Computed properties:
- SG = I4mm (107)
- calculated density (g cm⁻³) = 8.26
- formation energy from the elements (kcal/mol of atoms) = -5.01
- E_tot (eV per atom) = -5.28

Record 7
Here is a geometry-optimized Nd2Ag3Au structure from Alexandria. Energies are from PBE-GGA.

abc: 3.6155 4.8299 8.2273
angles: 90.00 90.00 90.00
Fractional coordinates of all 6 atoms:
Nd (0.0000, 0.5000, 0.0111)
Nd (0.0000, 0.0000, 0.4902)
Ag (0.5000, 0.0000, 0.8301)
Ag (0.5000, 0.0000, 0.1638)
Ag (0.5000, 0.5000, 0.6715)
Au (0.5000, 0.5000, 0.3334)

Computed properties:
- SG = Pmm2 (25)
- calculated density (g cm⁻³) = 9.35
- formation energy from the elements (kcal/mol of atoms) = -9.17
- E_tot (eV per atom) = -3.96

Record 8
Here is a geometry-optimized ZrNb3Zn8 structure from Alexandria. Energies are from PBE-GGA.

abc: 5.1309 5.1309 8.2097
angles: 90.00 90.00 120.00
Site moments in Bohr magnetons follow the coordinates.
Fractional coordinates of all 12 atoms:
Zr (0.0000, 0.0000, 0.5692)  0.13
Nb (0.6667, 0.3333, 0.4221)  0.20
Nb (0.6667, 0.3333, 0.0693)  0.01
Nb (0.0000, 0.0000, 0.9379)  0.12
Zn (0.3333, 0.6667, 0.4990)  0.00
Zn (0.3333, 0.6667, 0.0000)  0.00
Zn (0.5063, 0.0126, 0.7533)  0.00
Zn (0.5063, 0.4937, 0.7533)  0.00
Zn (0.9874, 0.4937, 0.7533)  0.00
Zn (0.1611, 0.3222, 0.2475)  0.00
Zn (0.1611, 0.8389, 0.2475)  0.00
Zn (0.6778, 0.8389, 0.2475)  0.00

Computed properties:
- SG = P3m1 (156)
- calculated density (g cm⁻³) = 7.92
- formation energy from the elements (kcal/mol of atoms) = -4.04
- E_tot (eV per atom) = -4.25

Record 9
Here is a geometry-optimized AgBPt3 structure from Alexandria. Energies are from PBE-GGA.

abc: 5.6250 5.5586 5.5626
angles: 59.98 79.25 84.77
Fractional coordinates of all 10 atoms:
B (0.7189, 0.1047, 0.7135)
B (0.2189, 0.1047, 0.7135)
Pt (0.0115, 0.2750, 0.3641)
Pt (0.4267, 0.2748, 0.8925)
Pt (0.9684, 0.7620, 0.8850)
Pt (0.4684, 0.7620, 0.8849)
Pt (0.9267, 0.2749, 0.8924)
Pt (0.5115, 0.2751, 0.3641)
Ag (0.7191, 0.7533, 0.3895)
Ag (0.2191, 0.7532, 0.3895)

Computed properties:
- SG = P1 (1)
- calculated density (g cm⁻³) = 15.80
- formation energy from the elements (kcal/mol of atoms) = -4.82
- E_tot (eV per atom) = -5.74

Record 10
Here is a geometry-optimized Tb3TcBi structure from Alexandria. Energies are from PBE-GGA.

abc: 4.2122 8.1730 10.5355
angles: 123.60 90.00 104.93
Fractional coordinates of all 10 atoms:
Tb (0.8284, 0.6567, 0.7165)
Tb (0.1716, 0.3433, 0.2835)
Tb (0.5752, 0.1503, 0.9422)
Tb (0.4248, 0.8497, 0.0578)
Tb (0.8797, 0.7594, 0.3028)
Tb (0.1203, 0.2406, 0.6972)
Tc (0.2274, 0.4549, 0.0291)
Tc (0.7726, 0.5451, 0.9709)
Bi (0.4098, 0.8195, 0.5716)
Bi (0.5902, 0.1805, 0.4284)

Computed properties:
- SG = C2/m (12)
- calculated density (g cm⁻³) = 9.06
- formation energy from the elements (kcal/mol of atoms) = -7.50
- E_tot (eV per atom) = -5.95

Record 11
Here is a geometry-optimized HfIn2Sn structure from Alexandria. Energies are from PBE-GGA.

abc: 8.2694 8.2694 6.5646
angles: 50.96 50.96 90.00
Fractional coordinates of all 8 atoms:
Hf (0.0000, 0.0000, 0.0000)
Hf (0.7500, 0.2500, 0.5000)
Sn (0.5000, 0.5000, 0.0000)
Sn (0.2500, 0.7500, 0.5000)
In (0.6242, 0.1250, 0.2500)
In (0.1258, 0.6250, 0.2500)
In (0.3750, 0.3758, 0.7500)
In (0.8750, 0.8742, 0.7500)

Computed properties:
- SG = I-42d (122)
- calculated density (g cm⁻³) = 8.58
- formation energy from the elements (kcal/mol of atoms) = 4.82
- E_tot (eV per atom) = -4.65

Record 12
Here is a geometry-optimized HoGa2Cu structure from Alexandria. Energies are from PBE-GGA.

abc: 4.2145 4.1684 4.1684
angles: 90.00 90.00 90.00
Fractional coordinates of all 4 atoms:
Cu (0.5000, 0.0000, 0.0000)
Ho (0.5000, 0.5000, 0.5000)
Ga (0.0000, 0.0000, 0.5000)
Ga (0.0000, 0.5000, 0.0000)

Computed properties:
- SG = P4/mmm (123)
- calculated density (g cm⁻³) = 8.34
- formation energy from the elements (kcal/mol of atoms) = -8.42
- E_tot (eV per atom) = -4.05

Record 13
Here is a geometry-optimized Zn2GeOsAu structure from Alexandria. Energies are from PBE-GGA.

abc: 4.7237 5.1393 4.7237
angles: 90.00 90.00 90.00
Site moments in Bohr magnetons follow the coordinates.
Fractional coordinates of all 5 atoms:
Os (0.0000, 0.5000, 0.0000)  1.84
Ge (0.5000, 0.5000, 0.5000)  -0.10
Au (0.0000, 0.0000, 0.0000)  0.05
Zn (0.0000, 0.0000, 0.5000)  -0.02
Zn (0.5000, 0.0000, 0.0000)  0.00

Computed properties:
- SG = P4/mmm (123)
- calculated density (g cm⁻³) = 8.55
- formation energy from the elements (kcal/mol of atoms) = 27.33
- E_tot (eV per atom) = -3.15

Record 14
Here is a geometry-optimized KEu3Ga structure from Alexandria. Energies are from PBE-GGA.

abc: 6.1571 6.1571 6.1571
angles: 90.00 90.00 90.00
Site moments in Bohr magnetons follow the coordinates.
Fractional coordinates of all 5 atoms:
Eu (0.0000, 0.5000, 0.0000)  6.96
Eu (0.0000, 0.0000, 0.5000)  6.96
Eu (0.5000, 0.0000, 0.0000)  6.96
K (0.5000, 0.5000, 0.5000)  0.01
Ga (0.0000, 0.0000, 0.0000)  0.07

Computed properties:
- SG = Pm-3m (221)
- calculated density (g cm⁻³) = 4.02
- formation energy from the elements (kcal/mol of atoms) = -0.05
- E_tot (eV per atom) = -6.99

Record 15
Here is a geometry-optimized Ac2NdI8 structure from Alexandria. Energies are from PBE-GGA.

abc: 6.7764 10.1330 10.1330
angles: 72.70 89.49 89.49
Site moments in Bohr magnetons follow the coordinates.
Fractional coordinates of all 11 atoms:
Ac (0.2876, 0.2068, 0.2068)  0.07
Ac (0.7124, 0.7932, 0.7932)  0.07
Nd (0.0000, 0.0000, 0.0000)  0.34
I (0.7499, 0.1202, 0.7242)  0.00
I (0.2501, 0.2758, 0.8798)  0.00
I (0.7818, 0.1798, 0.1798)  0.00
I (0.2182, 0.8202, 0.8202)  0.00
I (0.7499, 0.7242, 0.1202)  0.00
I (0.2501, 0.8798, 0.2758)  0.00
I (0.2499, 0.3946, 0.3946)  0.00
I (0.7501, 0.6054, 0.6054)  0.00

Computed properties:
- ΔE_f (raw) (eV per atom) = -1.292
- SG = C2/m (12)
- calculated density (g cm⁻³) = 4.03
- E_tot (eV per atom) = -3.60

Record 16
Here is a geometry-optimized TbSmCdSi structure from Alexandria. Energies are from PBE-GGA.

abc: 5.1633 5.1633 5.1633
angles: 60.00 60.00 60.00
Fractional coordinates of all 4 atoms:
Si (0.7500, 0.7500, 0.7500)
Tb (0.0000, 0.0000, 0.0000)
Sm (0.5000, 0.5000, 0.5000)
Cd (0.2500, 0.2500, 0.2500)

Computed properties:
- ΔE_f (raw) (eV per atom) = -0.390
- SG = F-43m (216)
- calculated density (g cm⁻³) = 7.67
- E_tot (eV per atom) = -4.31

Record 17
Here is a geometry-optimized ErSiTc2C structure from Alexandria. Energies are from PBE-GGA.

abc: 3.8447 5.8257 7.2883
angles: 90.00 90.00 109.27
Fractional coordinates of all 10 atoms:
Er (0.4572, 0.9143, 0.7500)
Er (0.5428, 0.0857, 0.2500)
Si (0.7343, 0.4685, 0.7500)
Si (0.2657, 0.5315, 0.2500)
Tc (0.1707, 0.3415, 0.9410)
Tc (0.8293, 0.6585, 0.0590)
Tc (0.1707, 0.3415, 0.5590)
Tc (0.8293, 0.6585, 0.4410)
C (0.0000, 0.0000, 0.0000)
C (0.0000, 0.0000, 0.5000)

Computed properties:
- ΔE_f (raw) (eV per atom) = -0.517
- SG = Cmcm (63)
- calculated density (g cm⁻³) = 8.69
- E_tot (eV per atom) = -8.51

Record 18
Here is a geometry-optimized Pr7ThAl4 structure from Alexandria. Energies are from PBE-GGA.

abc: 5.8466 9.3745 7.6551
angles: 76.98 67.55 71.83
Fractional coordinates of all 12 atoms:
Pr (0.7943, 0.8851, 0.5263)
Pr (0.2057, 0.1149, 0.4737)
Pr (0.0649, 0.6150, 0.2552)
Pr (0.9351, 0.3850, 0.7448)
Pr (0.2920, 0.6509, 0.7650)
Pr (0.5000, 0.0000, 0.0000)
Pr (0.7080, 0.3491, 0.2350)
Th (0.0000, 0.0000, 0.0000)
Al (0.5479, 0.2478, 0.6564)
Al (0.4521, 0.7522, 0.3436)
Al (0.6773, 0.6667, 0.9788)
Al (0.3227, 0.3333, 0.0212)

Computed properties:
- SG = C2/m (12)
- calculated density (g cm⁻³) = 6.02
- formation energy from the elements (kcal/mol of atoms) = -0.51
- E_tot (eV per atom) = -4.68

Record 19
Here is a geometry-optimized MgZrTi2 structure from Alexandria. Energies are from PBE-GGA.

abc: 4.0361 4.0361 10.3506
angles: 78.76 78.76 90.00
Fractional coordinates of all 8 atoms:
Mg (0.5000, 0.5000, 0.0000)
Mg (0.2500, 0.7500, 0.5000)
Zr (0.0000, 0.0000, 0.0000)
Zr (0.7500, 0.2500, 0.5000)
Ti (0.6338, 0.1250, 0.2500)
Ti (0.1162, 0.6250, 0.2500)
Ti (0.3750, 0.3661, 0.7500)
Ti (0.8750, 0.8838, 0.7500)

Computed properties:
- SG = I-42d (122)
- calculated density (g cm⁻³) = 4.33
- formation energy from the elements (kcal/mol of atoms) = 11.48
- E_tot (eV per atom) = -5.99

Record 20
Here is a geometry-optimized La4Ho3Mg structure from Alexandria. Energies are from PBE-GGA.

abc: 3.7327 3.7327 19.2145
angles: 90.00 90.00 90.00
Fractional coordinates of all 8 atoms:
Mg (0.5000, 0.5000, 0.0000)
Ho (0.5000, 0.5000, 0.2441)
Ho (0.5000, 0.5000, 0.5000)
Ho (0.5000, 0.5000, 0.7559)
La (0.0000, 0.0000, 0.8854)
La (0.0000, 0.0000, 0.1146)
La (0.0000, 0.0000, 0.3724)
La (0.0000, 0.0000, 0.6276)

Computed properties:
- SG = P4/mmm (123)
- calculated density (g cm⁻³) = 6.67
- formation energy from the elements (kcal/mol of atoms) = 0.02
- E_tot (eV per atom) = -4.38

Record 21
Here is a geometry-optimized K2RhPb structure from Alexandria. Energies are from PBE-GGA.

abc: 3.6376 3.6376 10.2907
angles: 90.00 90.00 90.00
Fractional coordinates of all 4 atoms:
K (0.0000, 0.0000, 0.9130)
K (0.5000, 0.5000, 0.3259)
Pb (0.0000, 0.0000, 0.5740)
Rh (0.5000, 0.5000, 0.6870)

Computed properties:
- SG = P4mm (99)
- calculated density (g cm⁻³) = 4.74
- formation energy from the elements (kcal/mol of atoms) = 2.10
- E_tot (eV per atom) = -3.22

Record 22
Here is a geometry-optimized Sc3Tl2H2 structure from Alexandria. Energies are from PBE-GGA.

abc: 3.4781 5.2092 7.8477
angles: 113.87 102.80 90.00
Fractional coordinates of all 7 atoms:
Sc (0.0000, 0.0000, 0.0000)
Sc (0.2809, 0.7607, 0.5617)
Sc (0.7191, 0.2393, 0.4383)
Tl (0.3980, 0.3608, 0.7959)
Tl (0.6020, 0.6392, 0.2041)
H (0.1807, 0.3401, 0.3613)
H (0.8193, 0.6599, 0.6387)

Computed properties:
- SG = C2/m (12)
- calculated density (g cm⁻³) = 7.18
- E_tot (eV per atom) = -4.63

Record 23
Here is a geometry-optimized Gd2TcSn structure from Alexandria. Energies are from PBE-GGA.

abc: 3.6384 3.6384 7.1986
angles: 90.00 90.00 90.00
Site moments in Bohr magnetons follow the coordinates.
Fractional coordinates of all 4 atoms:
Gd (0.0000, 0.0000, 0.7783)  -7.06
Gd (0.0000, 0.0000, 0.2217)  -7.06
Sn (0.5000, 0.5000, 0.5000)  0.01
Tc (0.5000, 0.5000, 0.0000)  0.36

Computed properties:
- SG = P4/mmm (123)
- calculated density (g cm⁻³) = 9.26
- formation energy from the elements (kcal/mol of atoms) = -6.52
- E_tot (eV per atom) = -10.92

Record 24
Here is a geometry-optimized TiGe2B structure from Alexandria. Energies are from PBE-GGA.

abc: 6.4169 6.4169 5.3468
angles: 53.12 53.12 90.00
Fractional coordinates of all 8 atoms:
Ge (0.5561, 0.1250, 0.2500)
Ge (0.1939, 0.6250, 0.2500)
Ge (0.3750, 0.4439, 0.7500)
Ge (0.8750, 0.8061, 0.7500)
B (0.5000, 0.5000, 0.0000)
B (0.2500, 0.7500, 0.5000)
Ti (0.0000, 0.0000, 0.0000)
Ti (0.7500, 0.2500, 0.5000)

Computed properties:
- SG = I-42d (122)
- calculated density (g cm⁻³) = 5.82
- formation energy from the elements (kcal/mol of atoms) = 3.84
- E_tot (eV per atom) = -5.79

Record 25
Here is a geometry-optimized Zn2CuAs structure from Alexandria. Energies are from PBE-GGA.

abc: 4.9837 2.8973 4.4168
angles: 94.91 90.00 90.00
Fractional coordinates of all 4 atoms:
As (0.5000, 0.2500, 0.2500)
Cu (0.5000, 0.7500, 0.7500)
Zn (0.0000, 0.0127, 0.9932)
Zn (0.0000, 0.4873, 0.5068)

Computed properties:
- SG = P2/m (10)
- calculated density (g cm⁻³) = 7.04
- formation energy from the elements (kcal/mol of atoms) = 2.54
- E_tot (eV per atom) = -2.71

Record 26
Here is a geometry-optimized NdErGeRh structure from Alexandria. Energies are from PBE-GGA.

abc: 4.1597 4.1848 5.7023
angles: 90.00 111.39 90.00
Fractional coordinates of all 4 atoms:
Nd (0.1457, 0.0000, 0.2913)
Er (0.8647, 0.5000, 0.7294)
Ge (0.5705, 0.5000, 0.1410)
Rh (0.4191, 0.0000, 0.8383)

Computed properties:
- SG = Amm2 (38)
- calculated density (g cm⁻³) = 8.75
- formation energy from the elements (kcal/mol of atoms) = -18.90
- E_tot (eV per atom) = -6.14